# 1
# InGaN2 | Alexandria via LeMat-Bulk | PBE | optimized geometry
# - energy (eV per atom) = -5.72
# - M_tot (μB/atom) = 0.00
data_InGaN2
_chemical_formula_sum 'In3 Ga3 N6'
_cell_length_a 3.3922
_cell_length_b 3.3922
_cell_length_c 16.7350
_cell_angle_alpha 90.00
_cell_angle_beta 90.00
_cell_angle_gamma 120.00
_symmetry_space_group_name_H-M 'R 3 m'
_symmetry_Int_Tables_number 160
_symmetry_space_group_name_Hall 'R 3 -2"'
loop_
_atom_site_label
_atom_site_type_symbol
_atom_site_fract_x
_atom_site_fract_y
_atom_site_fract_z
In1 In 0.0000 0.0000 0.0000
Ga1 Ga 0.0000 0.0000 0.5006
N1 N 0.0000 0.0000 0.1311
N2 N 0.0000 0.0000 0.6165

# 2
# TlTcSb2Br | Alexandria via LeMat-Bulk | PBE | optimized geometry
# - energy (eV per atom) = -3.39
# - M_tot (μB/atom) = 0.45
data_TlTcSb2Br
_chemical_formula_sum 'Tl1 Tc1 Sb2 Br1'
_cell_length_a 5.755
_cell_length_b 5.755
_cell_length_c 4.696
_cell_angle_alpha 90.00
_cell_angle_beta 90.00
_cell_angle_gamma 90.00
_symmetry_space_group_name_H-M 'P 4/m m m'
_symmetry_Int_Tables_number 123
_symmetry_space_group_name_Hall '-P 4 2'
loop_
_atom_site_label
_atom_site_type_symbol
_atom_site_fract_x
_atom_site_fract_y
_atom_site_fract_z
Tl1 Tl 0.000 0.000 0.000
Tc1 Tc 0.500 0.500 0.000
Sb1 Sb 0.000 0.500 0.500
Br1 Br 0.500 0.500 0.500

# 3
# SiHgSb2Te | Alexandria via LeMat-Bulk | PBE | optimized geometry
# - E above lowest polymorph (kcal/mol of atoms) = 13.73
# - M_tot (μB/atom) = 0.00
data_SiHgSb2Te
_chemical_formula_sum 'Si1 Hg1 Sb2 Te1'
_cell_length_a 5.464
_cell_length_b 5.464
_cell_length_c 5.687
_cell_angle_alpha 90.00
_cell_angle_beta 90.00
_cell_angle_gamma 90.00
_symmetry_space_group_name_H-M 'P 4/m m m'
_symmetry_Int_Tables_number 123
_symmetry_space_group_name_Hall '-P 4 2'
loop_
_atom_site_label
_atom_site_type_symbol
_atom_site_fract_x
_atom_site_fract_y
_atom_site_fract_z
Si1 Si 0.000 0.000 0.000
Hg1 Hg 0.500 0.500 0.500
Sb1 Sb 0.000 0.500 0.500
Te1 Te 0.500 0.500 0.000

# 4
# Fe2Tc2Ni15 | Alexandria via LeMat-Bulk | PBE | optimized geometry
# - energy (eV per atom) = -6.35
# - M_tot (μB/atom) = 1.02
data_Fe2Tc2Ni15
_chemical_formula_sum 'Fe6 Tc6 Ni45'
_cell_length_a 8.0338
_cell_length_b 8.0338
_cell_length_c 12.1062
_cell_angle_alpha 90.00
_cell_angle_beta 90.00
_cell_angle_gamma 120.00
_symmetry_space_group_name_H-M 'R -3 m'
_symmetry_Int_Tables_number 166
_symmetry_space_group_name_Hall '-R 3 2"'
loop_
_atom_site_label
_atom_site_type_symbol
_atom_site_fract_x
_atom_site_fract_y
_atom_site_fract_z
Fe1 Fe 0.0000 0.0000 0.0973
Tc1 Tc 0.0000 0.0000 0.3292
Ni1 Ni 0.0000 0.3147 0.0000
Ni2 Ni 0.0000 0.5000 0.5000
Ni3 Ni 0.0057 0.5029 0.1568

# 5
# LaPuGeRh | Alexandria via LeMat-Bulk | PBE | optimized geometry
# - E above lowest polymorph (kcal/mol of atoms) = 0.49
# - M_tot (μB/atom) = 1.41
data_LaPuGeRh
_chemical_formula_sum 'La2 Pu2 Ge2 Rh2'
_cell_length_a 4.151
_cell_length_b 4.151
_cell_length_c 10.879
_cell_angle_alpha 90.00
_cell_angle_beta 90.00
_cell_angle_gamma 90.00
_symmetry_space_group_name_H-M 'P 4/n m m'
_symmetry_Int_Tables_number 129
loop_
_symmetry_equiv_pos_as_xyz
'x,y,z'
'-x,-y,-z'
'-y+1/2,x,z'
'y+1/2,-x,-z'
'-x+1/2,-y+1/2,z'
'x+1/2,y+1/2,-z'
'y,-x+1/2,z'
'-y,x+1/2,-z'
'x+1/2,-y,-z'
'-x+1/2,y,z'
'-y,-x,-z'
'y,x,z'
'-x,y+1/2,-z'
'x,-y+1/2,z'
'y+1/2,x+1/2,-z'
'-y+1/2,-x+1/2,z'
loop_
_atom_site_label
_atom_site_type_symbol
_atom_site_fract_x
_atom_site_fract_y
_atom_site_fract_z
La1 La 0.250 0.250 0.220
Pu1 Pu 0.250 0.750 0.500
Ge1 Ge 0.250 0.250 0.943
Rh1 Rh 0.250 0.250 0.710

# 6
# Pr2Sm3Ho7 | Alexandria via LeMat-Bulk | PBE | optimized geometry
# - E above lowest polymorph (kcal/mol of atoms) = 0.00
# - M_tot (μB/atom) = 0.00
data_Pr2Sm3Ho7
_chemical_formula_sum 'Pr2 Sm3 Ho7'
_cell_length_a 6.365
_cell_length_b 3.537
_cell_length_c 17.581
_cell_angle_alpha 90.00
_cell_angle_beta 96.23
_cell_angle_gamma 90.00
_symmetry_space_group_name_H-M 'P 1 2/m 1'
_symmetry_Int_Tables_number 10
_symmetry_space_group_name_Hall '-P 2y'
loop_
_atom_site_label
_atom_site_type_symbol
_atom_site_fract_x
_atom_site_fract_y
_atom_site_fract_z
Pr1 Pr 0.056 0.000 0.174
Sm1 Sm 0.454 0.500 0.841
Sm2 Sm 0.500 0.000 0.500
Ho1 Ho 0.000 0.500 0.500
Ho2 Ho 0.227 0.000 0.665
Ho3 Ho 0.255 0.000 0.000
Ho4 Ho 0.274 0.500 0.337

# 7
# GdCd2Au | Alexandria via LeMat-Bulk | PBE | optimized geometry
# - energy (eV per atom) = -5.16
# - M_tot (μB/atom) = 1.78
data_GdCd2Au
_chemical_formula_sum 'Gd4 Cd8 Au4'
_cell_length_a 7.066
_cell_length_b 7.066
_cell_length_c 7.066
_cell_angle_alpha 90.00
_cell_angle_beta 90.00
_cell_angle_gamma 90.00
_symmetry_space_group_name_H-M 'F m -3 m'
_symmetry_Int_Tables_number 225
_symmetry_space_group_name_Hall '-F 4 2 3'
loop_
_atom_site_label
_atom_site_type_symbol
_atom_site_fract_x
_atom_site_fract_y
_atom_site_fract_z
Gd1 Gd 0.000 0.000 0.000
Cd1 Cd 0.250 0.250 0.250
Au1 Au 0.000 0.000 0.500

# 8
# BaTlS2Cl | Alexandria via LeMat-Bulk | PBE | optimized geometry
# - E above lowest polymorph (kcal/mol of atoms) = 9.79
# - M_tot (μB/atom) = 0.40
data_BaTlS2Cl
_chemical_formula_sum 'Ba1 Tl1 S2 Cl1'
_cell_length_a 6.018
_cell_length_b 6.018
_cell_length_c 5.977
_cell_angle_alpha 90.00
_cell_angle_beta 90.00
_cell_angle_gamma 90.00
_symmetry_space_group_name_H-M 'P 4/m m m'
_symmetry_Int_Tables_number 123
_symmetry_space_group_name_Hall '-P 4 2'
loop_
_atom_site_label
_atom_site_type_symbol
_atom_site_fract_x
_atom_site_fract_y
_atom_site_fract_z
Ba1 Ba 0.000 0.000 0.000
Tl1 Tl 0.500 0.500 0.500
S1 S 0.000 0.500 0.000
Cl1 Cl 0.000 0.000 0.500